[1]
CdGeO: relaxed, PBE.

Cell: 2.936 2.944 7.013 Å, 101.35 101.73 90.03°
Sites, in units of the cell vectors:
Cd 0.000 0.000 0.000
Ge 0.744 0.731 0.503
O 0.158 0.650 0.324

Results
As for the symmetry: P1 (1). The density of states at the Fermi level comes out at 0.42 states/eV/cell. The calculation puts the uncorrected formation energy at -165 kJ/mol of formula units. The value obtained for the uncorrected energy is -4.066 eV/atom.



[2]
K2BeHgP: relaxed, PBE.

Cell: 6.372 6.372 3.890 Å, 90.00 90.00 90.00°
Sites, in units of the cell vectors:
K 0.000 0.500 0.000
K 0.500 0.000 0.000
Be 0.000 0.000 0.000
Hg 0.500 0.500 0.500
P 0.000 0.000 0.500

Results
As for the symmetry: P4/mmm (123). The density of states at the Fermi level comes out at 2.47 states/eV/cell. The calculated formation energy comes out at -0.57 eV per formula unit. The value obtained for the uncorrected energy is -2.441 eV/atom.



[3]
LiErTcSn: relaxed, PBE.

Cell: 6.701 6.701 6.701 Å, 90.00 90.00 90.00°
Sites, in units of the cell vectors:
Li 0.000 0.000 0.000
Li 0.000 0.500 0.500
Li 0.500 0.000 0.500
Li 0.500 0.500 0.000
Er 0.250 0.250 0.250
Er 0.250 0.750 0.750
Er 0.750 0.250 0.750
Er 0.750 0.750 0.250
Tc 0.000 0.000 0.500
Tc 0.000 0.500 0.000
Tc 0.500 0.000 0.000
Tc 0.500 0.500 0.500
Sn 0.250 0.250 0.750
Sn 0.250 0.750 0.250
Sn 0.750 0.250 0.250
Sn 0.750 0.750 0.750

Results
As for the symmetry: F-43m (216). The density of states at the Fermi level comes out at 14.16 states/eV/cell. The calculated formation energy comes out at -0.74 eV per formula unit. The value obtained for the uncorrected energy is -5.396 eV/atom.



Q: Which formula does entry 1 have?
A: CdGeO